(1)
# NaPm4YSe8 | the Alexandria database | PBE-GGA | relaxed
# Formation energy without anion corrections   -1.768 eV/atom
# Symmetry   No. 160
data_NaPm4YSe8
_symmetry_space_group_name_H-M 'P 1'
_symmetry_Int_Tables_number 1
_cell_length_a 8.660
_cell_length_b 8.660
_cell_length_c 8.597
_cell_angle_alpha 59.76
_cell_angle_beta 59.76
_cell_angle_gamma 60.00
loop_
_symmetry_equiv_pos_as_xyz
'x,y,z'
loop_
_atom_site_label
_atom_site_type_symbol
_atom_site_fract_x
_atom_site_fract_y
_atom_site_fract_z
Na1 Na 0.376 0.376 0.872
Pm1 Pm 0.624 0.624 0.128
Pm2 Pm 0.004 0.486 0.505
Pm3 Pm 0.486 0.004 0.505
Pm4 Pm 0.004 0.004 0.505
Y1 Y 0.005 0.005 0.985
Se1 Se 0.237 0.780 0.746
Se2 Se 0.780 0.237 0.746
Se3 Se 0.237 0.237 0.746
Se4 Se 0.241 0.241 0.277
Se5 Se 0.762 0.223 0.253
Se6 Se 0.223 0.762 0.253
Se7 Se 0.762 0.762 0.253
Se8 Se 0.758 0.758 0.726

---

(2)
# NaPm3Y2Se6 | the Alexandria database | PBE-GGA | relaxed
# Formation energy without anion corrections   -1.775 eV/atom
# Symmetry   No. 12
data_NaPm3Y2Se6
_symmetry_space_group_name_H-M 'P 1'
_symmetry_Int_Tables_number 1
_cell_length_a 4.145
_cell_length_b 8.348
_cell_length_c 9.309
_cell_angle_alpha 103.02
_cell_angle_beta 102.86
_cell_angle_gamma 90.00
loop_
_symmetry_equiv_pos_as_xyz
'x,y,z'
loop_
_atom_site_label
_atom_site_type_symbol
_atom_site_fract_x
_atom_site_fract_y
_atom_site_fract_z
Na1 Na 0.500 0.000 0.000
Pm1 Pm 0.500 0.500 0.000
Pm2 Pm 0.838 0.175 0.676
Pm3 Pm 0.162 0.825 0.324
Y1 Y 0.834 0.661 0.668
Y2 Y 0.166 0.339 0.332
Se1 Se 0.332 0.911 0.664
Se2 Se 0.669 0.579 0.337
Se3 Se 0.668 0.089 0.336
Se4 Se 0.004 0.248 0.008
Se5 Se 0.996 0.752 0.992
Se6 Se 0.331 0.421 0.663